DFT (PBE) results for a geometry-optimized Tm3P4Pd4 structure.

Results
ΔE_f: -1.08 eV per atom
total magnetization: 0.000 μB/atom

Cell and atoms, written as POSCAR:
```
Tm3P4Pd4
1.0
-2.004 3.483 6.713
2.004 -3.483 6.713
2.004 3.483 -6.713
Tm P Pd
3 4 4
direct
0.000 0.000 0.000
0.374 0.874 0.500
0.626 0.126 0.500
0.217 0.217 0.000
0.310 0.500 0.810
0.690 0.500 0.190
0.783 0.783 0.000
0.030 0.330 0.700
0.370 0.670 0.700
0.630 0.330 0.300
0.970 0.670 0.300
```